Material: LiPr2I
Method: DFT, PBE
State: optimized geometry

Output
**Symmetry**: No. 166
**Calculated total energy**: -3.39 eV/atom

a = 3.6907 Å, b = 3.6907 Å, c = 12.1588 Å
α = 81.27°, β = 81.27°, γ = 60.00°
Closest atoms and distances in Å follow each position.
Element x y z (fractional)
Pr: 0.0945 0.0945 0.7165  3 I 3.35, 1 Li 3.39, 6 Pr 3.69
Pr: 0.9055 0.9055 0.2835  3 I 3.35, 1 Li 3.39, 6 Pr 3.69
I: 0.5000 0.5000 0.5000  6 Pr 3.35, 6 I 3.69
Li: 0.0000 0.0000 0.0000  2 Pr 3.39, 6 Li 3.69


Material: Li2Pr2I7
Method: DFT, PBE
State: optimized geometry

Output
**Symmetry**: No. 12
**Calculated total energy**: -3.44 eV/atom

a = 11.9377 Å, b = 7.7077 Å, c = 7.7077 Å
α = 116.62°, β = 82.01°, γ = 82.01°
Closest atoms and distances in Å follow each position.
Element x y z (fractional)
Li: 0.7875 0.1838 0.1838  2 I 2.58-2.87
Li: 0.2125 0.8162 0.8162  2 I 2.58-2.87
Pr: 0.5000 0.3500 0.6500  6 I 3.17-3.26
Pr: 0.5000 0.6500 0.3500  6 I 3.17-3.26
I: 0.3475 0.0550 0.7136  1 Li 2.90, 1 Pr 3.17
I: 0.6525 0.2864 0.9450  1 Li 2.90, 1 Pr 3.17
I: 0.6525 0.9450 0.2864  1 Li 2.90, 1 Pr 3.17
I: 0.3475 0.7136 0.0550  1 Li 2.90, 1 Pr 3.17
I: 0.0000 0.0000 0.0000  2 Li 2.58
I: 0.6979 0.5491 0.5491  1 Li 2.87, 2 Pr 3.18
I: 0.3021 0.4509 0.4509  1 Li 2.87, 2 Pr 3.18


Material: LiPrI4
Method: DFT, PBE
State: optimized geometry

Output
**Symmetry**: No. 12
**Calculated total energy**: -3.47 eV/atom

a = 4.5082 Å, b = 8.9086 Å, c = 7.6729 Å
α = 114.65°, β = 90.00°, γ = 104.66°
Closest atoms and distances in Å follow each position.
Element x y z (fractional)
Li: 0.5000 0.0000 0.5000  6 I 3.04-3.18
Pr: 0.0000 0.0000 0.0000  6 I 3.11-3.18
I: 0.3805 0.7609 0.0484  1 Li 3.18, 2 Pr 3.18
I: 0.1061 0.2121 0.4458  2 Li 3.04, 1 Pr 3.11
I: 0.6195 0.2391 0.9516  1 Li 3.18, 2 Pr 3.18
I: 0.8939 0.7879 0.5542  2 Li 3.04, 1 Pr 3.11


no.,ΔE_f (raw) (eV/atom)
1,-0.135
2,-1.237
3,-1.324